Run i
This record from Alexandria describes a relaxed Sn2BTe crystal. The functional is PBE.

a b c (Å): 5.126 5.126 5.126
angles (deg): 60.00 60.00 60.00
Atoms (fractional coordinates):
1 B 0.000 0.000 0.000
2 Te 0.500 0.500 0.500
3 Sn 0.750 0.750 0.750
4 Sn 0.250 0.250 0.250

Values from the calculation:
Size of the total moment, Bohr magnetons per cell: 0.00


Run ii
This record from Alexandria describes a relaxed Sn2BTe crystal. The functional is PBE.

a b c (Å): 6.286 6.286 6.987
angles (deg): 63.27 63.27 90.00
Atoms (fractional coordinates):
1 Te 0.750 0.250 0.500
2 Te 0.000 0.000 0.000
3 Sn 0.225 0.625 0.250
4 Sn 0.525 0.125 0.250
5 Sn 0.875 0.775 0.750
6 Sn 0.375 0.475 0.750
7 B 0.500 0.500 0.000
8 B 0.250 0.750 0.500

Values from the calculation:
Size of the total moment, Bohr magnetons per cell: 0.00


Which is most stable? The ranking, best first, is run ii, run i.